Crystalline Li2VZnF8 at its relaxed geometry, computed with GGA+U.

Unit cell a=4.6646 b=4.6598 c=6.3855 alpha=90.00 beta=90.00 gamma=91.92
Last column: nearest neighbours and their distance in Å.
Fractional coordinates of all 12 atoms:
Li: 0.5000 0.5000 0.7267  4 F 1.96-2.08
Li: 0.5000 0.5000 0.2733  4 F 1.96-2.08
V: 0.0000 0.0000 0.0000  6 F 1.83-1.92
Zn: 0.0000 0.0000 0.5000  2 F 1.91
F: 0.1928 0.8062 0.2209  1 V 1.92, 1 Li 2.08
F: 0.7171 0.7179 0.0000  1 V 1.83
F: 0.8072 0.1938 0.2209  1 V 1.92, 1 Li 2.08
F: 0.8072 0.1938 0.7791  1 V 1.92, 1 Li 2.08
F: 0.2829 0.2821 0.0000  1 V 1.83
F: 0.1928 0.8062 0.7791  1 V 1.92, 1 Li 2.08
F: 0.7046 0.7054 0.5000  1 Zn 1.91, 2 Li 1.96
F: 0.2954 0.2946 0.5000  1 Zn 1.91, 2 Li 1.96

Summary:
- SG = Cmmm
- density of states at the Fermi level (states/eV/cell) = 0.00
- E (eV/atom) = -4.9878
- calculated volume (Å³/atom) = 11.56